No. 1
6
Lattice="0.000 3.977 3.977 3.977 0.000 3.977 3.977 3.977 0.000" Properties=species:S:1:pos:R:3 comment="PtAuCl4 | the Alexandria database | GGA-PBE | optimized geometry" total_magnetization_mub_per_cell=0.03 e_form_raw_kcal_per_mol_atoms=27.2 de_polymorph_mev_per_atom=1461.9 pbc="T T T"
Pt 0.000 0.000 0.000
Au 5.966 5.966 5.966
Cl 2.983 2.983 2.983
Cl 4.972 4.972 2.983
Cl 4.972 2.983 4.972
Cl 2.983 4.972 4.972

***

No. 2
4
Lattice="1.968 1.136 7.343 -1.968 1.136 7.343 0.000 -2.273 7.343" Properties=species:S:1:pos:R:3 comment="PtAuCl2 | the Alexandria database | GGA-PBE | optimized geometry" total_magnetization_mub_per_cell=1.01 e_form_raw_kcal_per_mol_atoms=8.0 de_polymorph_mev_per_atom=420.0 pbc="T T T"
Pt 0.000 0.000 0.000
Au 0.000 0.000 11.014
Cl 0.000 0.000 8.667
Cl 0.000 0.000 13.361

***

Copy entry 1 word for word.
6
Lattice="0.000 3.977 3.977 3.977 0.000 3.977 3.977 3.977 0.000" Properties=species:S:1:pos:R:3 comment="PtAuCl4 | the Alexandria database | GGA-PBE | optimized geometry" total_magnetization_mub_per_cell=0.03 e_form_raw_kcal_per_mol_atoms=27.2 de_polymorph_mev_per_atom=1461.9 pbc="T T T"
Pt 0.000 0.000 0.000
Au 5.966 5.966 5.966
Cl 2.983 2.983 2.983
Cl 4.972 4.972 2.983
Cl 4.972 2.983 4.972
Cl 2.983 4.972 4.972

***

Q: Which formula does entry 2 have?
A: PtAuCl2